Record 1
CdH2O PBE optimized geometry; D(E_F) = 1.2 states/eV/f.u.; excess energy over the best structure of this formula in the dataset = 0.710 eV/atom; mass density = 6.236 g/cm3
1.0
0.0000 2.5896 2.5896
2.5896 0.0000 2.5896
2.5896 2.5896 0.0000
Cd H O
1 2 1
direct
0.0000 0.0000 0.0000
0.2500 0.2500 0.2500
0.7500 0.7500 0.7500
0.5000 0.5000 0.5000


Record 2
CdHO PBE optimized geometry; D(E_F) = 0.1 states/eV/f.u.; excess energy over the best structure of this formula in the dataset = 0.047 eV/atom; mass density = 4.827 g/cm3
1.0
3.2068 0.0000 0.0000
0.0000 9.5204 0.0000
-0.2607 0.0000 5.8330
Cd H O
4 4 4
direct
0.2291 0.1116 0.4173
0.2291 0.3884 0.9173
0.7709 0.6116 0.0827
0.7709 0.8884 0.5827
0.4330 0.6320 0.5019
0.4330 0.8680 0.0019
0.5670 0.1320 0.9981
0.5670 0.3680 0.4981
0.3047 0.1706 0.0501
0.3047 0.3294 0.5501
0.6953 0.6706 0.4499
0.6953 0.8294 0.9499


Record 3
CdH2O2 PBE optimized geometry; D(E_F) = 0.0 states/eV/f.u.; excess energy over the best structure of this formula in the dataset = 0.011 eV/atom; mass density = 4.589 g/cm3
1.0
3.5794 0.0000 0.0000
-1.7897 3.0999 0.0000
0.0000 0.0000 4.7748
Cd H O
1 2 2
direct
0.0000 0.0000 0.0000
0.3333 0.6667 0.4369
0.6667 0.3333 0.5631
0.3333 0.6667 0.2325
0.6667 0.3333 0.7675


Record 4
CdHO2 PBE optimized geometry; D(E_F) = 1.9 states/eV/f.u.; excess energy over the best structure of this formula in the dataset = 0.000 eV/atom; mass density = 5.284 g/cm3
1.0
1.7048 0.9843 4.5388
-1.7048 0.9843 4.5388
0.0000 -1.9685 4.5388
Cd H O
1 1 2
direct
0.0000 0.0000 0.0000
0.5000 0.5000 0.5000
0.4129 0.4129 0.4129
0.5871 0.5871 0.5871


Record 5
Cd2HO2 PBE optimized geometry; D(E_F) = 0.3 states/eV/f.u.; mass density = 7.072 g/cm3; total DFT energy (no corrections) = -17.7 eV/f.u.
1.0
5.0518 0.0000 0.0000
0.0000 2.8076 0.0000
-2.5197 0.0000 8.5365
Cd H O
4 2 4
direct
0.0763 0.2500 0.1512
0.2939 0.2500 0.5882
0.7061 0.7500 0.4118
0.9237 0.7500 0.8488
0.4272 0.2500 0.8552
0.5728 0.7500 0.1448
0.1889 0.7500 0.3772
0.4113 0.7500 0.8228
0.5887 0.2500 0.1772
0.8111 0.2500 0.6228


Record 6
CdH3O PBE optimized geometry; D(E_F) = 1.9 states/eV/f.u.; excess energy over the best structure of this formula in the dataset = 0.000 eV/atom; mass density = 5.248 g/cm3
1.0
3.4646 0.0000 0.0000
0.0000 3.4646 0.0000
0.0000 0.0000 3.4646
Cd H O
1 3 1
direct
0.0000 0.0000 0.0000
0.0000 0.5000 0.5000
0.5000 0.0000 0.5000
0.5000 0.5000 0.0000
0.5000 0.5000 0.5000


Record 7
CdHO PBE optimized geometry; D(E_F) = 0.7 states/eV/f.u.; excess energy over the best structure of this formula in the dataset = 0.211 eV/atom; mass density = 4.505 g/cm3
1.0
-1.5667 1.5667 4.8582
1.5667 -1.5667 4.8582
1.5667 1.5667 -4.8582
Cd H O
1 1 1
direct
0.0000 0.0000 0.0000
0.7049 0.7049 0.0000
0.6031 0.6031 0.0000


Record 8
CdP2H6O7 PBE optimized geometry; D(E_F) = 0.0 states/eV/f.u.; mass density = 2.773 g/cm3; total DFT energy (no corrections) = -88.1 eV/f.u.
1.0
6.8264 0.0000 0.0000
-0.6554 7.6398 0.0000
-2.7584 -3.4232 6.7139
Cd P H O
2 4 12 14
direct
0.0729 0.2652 0.3740
0.9271 0.7348 0.6260
0.1922 0.2431 0.8386
0.3870 0.7403 0.5317
0.6130 0.2597 0.4683
0.8078 0.7569 0.1614
0.1191 0.8336 0.0496
0.1405 0.4190 0.9328
0.2970 0.7631 0.9670
0.3620 0.9332 0.5966
0.3985 0.2505 0.1247
0.4776 0.2985 0.6903
0.5224 0.7015 0.3097
0.6015 0.7495 0.8753
0.6380 0.0668 0.4034
0.7030 0.2369 0.0330
0.8595 0.5810 0.0672
0.8809 0.1664 0.9504
0.0075 0.0746 0.7804
0.1421 0.7545 0.9291
0.1912 0.6153 0.5210
0.2492 0.2469 0.6713
0.3753 0.6731 0.3156
0.3928 0.2551 0.3244
0.4121 0.2472 0.0005
0.5879 0.7528 0.9995
0.6072 0.7449 0.6756
0.6247 0.3269 0.6844
0.7508 0.7531 0.3287
0.8088 0.3847 0.4790
0.8579 0.2455 0.0709
0.9925 0.9254 0.2196


Record 9
CdP2HO PBE optimized geometry; D(E_F) = 4.5 states/eV/f.u.; excess energy over the best structure of this formula in the dataset = 0.000 eV/atom; mass density = 4.095 g/cm3
1.0
3.3718 0.0000 0.0000
0.0000 3.3718 0.0000
0.0000 0.0000 6.8252
Cd P H O
1 2 1 1
direct
0.0000 0.0000 0.0000
0.0000 0.5000 0.5000
0.5000 0.0000 0.5000
0.5000 0.5000 0.5000
0.5000 0.5000 0.0000


Record 10
CdP2HO PBE optimized geometry; D(E_F) = 5.6 states/eV/f.u.; excess energy over the best structure of this formula in the dataset = 1.146 eV/atom; mass density = 2.981 g/cm3
1.0
5.0940 0.0000 0.0000
0.0000 5.0940 0.0000
0.0000 0.0000 4.1086
Cd P H O
1 2 1 1
direct
0.0000 0.0000 0.0000
0.0000 0.5000 0.0000
0.5000 0.0000 0.0000
0.5000 0.5000 0.5000
0.0000 0.0000 0.5000


Record 11
CdPHO2 PBE optimized geometry; D(E_F) = 4.5 states/eV/f.u.; excess energy over the best structure of this formula in the dataset = 0.894 eV/atom; mass density = 3.105 g/cm3
1.0
4.1033 0.0000 0.0000
0.0000 4.1033 0.0000
0.0000 0.0000 5.6029
Cd P H O
1 1 1 2
direct
0.0000 0.0000 0.0000
0.0000 0.0000 0.5000
0.5000 0.5000 0.5000
0.0000 0.5000 0.0000
0.5000 0.0000 0.0000


Record 12
CdPHO2 PBE optimized geometry; D(E_F) = 0.9 states/eV/f.u.; excess energy over the best structure of this formula in the dataset = 0.000 eV/atom; mass density = 5.558 g/cm3
1.0
4.2007 0.0000 0.0000
0.0000 4.2007 0.0000
0.0000 0.0000 2.9865
Cd P H O
1 1 1 2
direct
0.0000 0.0000 0.0000
0.5000 0.5000 0.0000
0.5000 0.5000 0.5000
0.0000 0.5000 0.5000
0.5000 0.0000 0.5000


Record 13
PaCdHO4 PBE optimized geometry; D(E_F) = 0.0 states/eV/f.u.; mass density = 5.377 g/cm3; total DFT energy (no corrections) = -47.9 eV/f.u.
1.0
-3.5069 3.6160 4.9739
3.5069 -3.6160 4.9739
3.5069 3.6160 -4.9739
Pa Cd H O
2 2 2 8
direct
0.5000 0.0000 0.0000
0.5000 0.5000 0.5000
0.0000 0.0000 0.0000
0.5000 0.0000 0.5000
0.2817 0.5317 0.7500
0.7183 0.4683 0.2500
0.2633 0.2046 0.0588
0.2992 0.3731 0.5739
0.2992 0.7254 0.9261
0.3542 0.7954 0.5588
0.6458 0.2046 0.4412
0.7008 0.2746 0.0739
0.7008 0.6269 0.4261
0.7367 0.7954 0.9412


Record 14
PmCd2HO4 PBE optimized geometry; mass density = 6.398 g/cm3; total DFT energy (no corrections) = -42.9 eV/f.u.
1.0
0.0000 5.3593 3.3353
3.1567 0.0000 3.3353
3.1567 5.3593 0.0000
Pm Cd H O
1 2 1 4
direct
0.0000 0.0000 0.0000
0.2717 0.2717 0.2283
0.7717 0.7717 0.7283
0.3516 0.3516 0.6484
0.1201 0.5072 0.8799
0.2422 0.8001 0.1999
0.5072 0.1201 0.4928
0.8001 0.2422 0.7578


Record 15
CdH2PtO4 PBE optimized geometry; D(E_F) = 1.3 states/eV/f.u.; mass density = 5.587 g/cm3; total DFT energy (no corrections) = -38.5 eV/f.u.
1.0
-2.4859 3.2872 3.3962
2.4859 -3.2872 3.3962
2.4859 3.2872 -3.3962
Cd H Pt O
1 2 1 4
direct
0.0000 0.0000 0.0000
0.2940 0.5000 0.7940
0.7060 0.5000 0.2060
0.5000 0.0000 0.5000
0.2800 0.2581 0.5381
0.2800 0.7419 0.0218
0.7200 0.2581 0.9782
0.7200 0.7419 0.4619


Record 16
RbCdH2O PBE optimized geometry; D(E_F) = 3.3 states/eV/f.u.; mass density = 4.847 g/cm3; total DFT energy (no corrections) = -14.6 eV/f.u.
1.0
4.0579 0.0000 0.0000
0.0000 4.0579 0.0000
0.0000 0.0000 4.4914
Rb Cd H O
1 1 2 1
direct
0.0000 0.0000 0.0000
0.5000 0.5000 0.5000
0.0000 0.5000 0.5000
0.5000 0.0000 0.5000
0.5000 0.5000 0.0000


Record 17
CdH2S2O8 PBE optimized geometry; D(E_F) = 0.0 states/eV/f.u.; mass density = 3.147 g/cm3; total DFT energy (no corrections) = -71.8 eV/f.u.
1.0
5.4078 0.0000 0.0000
0.0000 13.3605 0.0000
-0.4556 0.0000 8.9545
Cd H S O
4 8 8 32
direct
0.2181 0.0443 0.2513
0.2181 0.4557 0.7513
0.7819 0.5443 0.2487
0.7819 0.9557 0.7487
0.0757 0.2300 0.8198
0.0757 0.2700 0.3198
0.4415 0.7301 0.4507
0.4415 0.7699 0.9507
0.5585 0.2301 0.0493
0.5585 0.2699 0.5493
0.9243 0.7300 0.6802
0.9243 0.7700 0.1802
0.2611 0.6441 0.0533
0.2611 0.8559 0.5533
0.2912 0.0954 0.8764
0.2912 0.4046 0.3764
0.7088 0.5954 0.6236
0.7088 0.9046 0.1236
0.7389 0.1441 0.4467
0.7389 0.3559 0.9467
0.0258 0.6643 0.1277
0.0258 0.8357 0.6277
0.1493 0.0017 0.8646
0.1493 0.4983 0.3646
0.1592 0.1722 0.7680
0.1592 0.3278 0.2680
0.2422 0.5502 0.9716
0.2422 0.9498 0.4716
0.2806 0.7330 0.9396
0.2806 0.7670 0.4396
0.2970 0.1392 0.0292
0.2970 0.3608 0.5292
0.4578 0.5840 0.6755
0.4578 0.9160 0.1755
0.4781 0.6506 0.1577
0.4781 0.8494 0.6577
0.5219 0.1506 0.3423
0.5219 0.3494 0.8423
0.5422 0.0840 0.8245
0.5422 0.4160 0.3245
0.7030 0.6392 0.4708
0.7030 0.8608 0.9708
0.7194 0.2330 0.5604
0.7194 0.2670 0.0604
0.7578 0.0502 0.5284
0.7578 0.4498 0.0284
0.8408 0.6722 0.7320
0.8408 0.8278 0.2320
0.8507 0.5017 0.6354
0.8507 0.9983 0.1354
0.9742 0.1643 0.3723
0.9742 0.3357 0.8723


Record 18
CdH4S2O5 PBE optimized geometry; D(E_F) = 0.0 states/eV/f.u.; mass density = 2.898 g/cm3; total DFT energy (no corrections) = -59.8 eV/f.u.
1.0
5.7423 0.0000 0.0000
0.0000 7.2697 0.0000
-2.6626 0.0000 14.3047
Cd H S O
4 16 8 20
direct
0.1309 0.1493 0.1828
0.1309 0.3507 0.6828
0.8691 0.6493 0.3172
0.8691 0.8507 0.8172
0.1972 0.6379 0.4976
0.1972 0.8621 0.9976
0.2673 0.1473 0.9958
0.2673 0.3527 0.4958
0.3476 0.1586 0.5490
0.3476 0.3414 0.0490
0.3656 0.6313 0.4240
0.3656 0.8687 0.9240
0.6344 0.1313 0.0760
0.6344 0.3687 0.5760
0.6524 0.6586 0.9510
0.6524 0.8414 0.4510
0.7327 0.6473 0.5042
0.7327 0.8527 0.0042
0.8028 0.1379 0.0024
0.8028 0.3621 0.5024
0.0009 0.0040 0.3272
0.0009 0.4960 0.8272
0.2985 0.6583 0.1583
0.2985 0.8417 0.6583
0.7015 0.1583 0.3417
0.7015 0.3417 0.8417
0.9991 0.5040 0.1728
0.9991 0.9960 0.6728
0.2027 0.6602 0.6219
0.2027 0.8398 0.1219
0.2095 0.5860 0.4355
0.2095 0.9140 0.9355
0.3322 0.2061 0.0564
0.3322 0.2939 0.5564
0.4082 0.5627 0.0886
0.4082 0.9373 0.5886
0.4518 0.6769 0.2508
0.4518 0.8231 0.7508
0.5482 0.1769 0.2492
0.5482 0.3231 0.7492
0.5918 0.0627 0.4114
0.5918 0.4373 0.9114
0.6678 0.7061 0.4436
0.6678 0.7939 0.9436
0.7905 0.0860 0.0645
0.7905 0.4140 0.5645
0.7973 0.1602 0.8781
0.7973 0.3398 0.3781


Record 19
Sc6Cd2HO PBE optimized geometry; D(E_F) = 9.7 states/eV/f.u.; mass density = 4.689 g/cm3; total DFT energy (no corrections) = -56.1 eV/f.u.
1.0
-3.1773 3.1773 4.4866
3.1773 -3.1773 4.4866
3.1773 3.1773 -4.4866
Sc Cd H O
6 2 1 1
direct
0.2462 0.2462 0.0000
0.2457 0.2457 0.4914
0.2457 0.7543 0.0000
0.7543 0.2457 0.0000
0.7538 0.7538 0.0000
0.7543 0.7543 0.5086
0.2500 0.7500 0.5000
0.7500 0.2500 0.5000
0.5000 0.5000 0.0000
0.0000 0.0000 0.0000